The following is a GGA-PBE calculation of a geometry-optimized TiBeN2 structure, from Alexandria via LeMat-Bulk.

```
TiBeN2
1.0
1.712 0.000 5.403
-0.856 1.482 5.403
-0.856 -1.482 5.403
Ti N Be
1 2 1
direct
0.000 0.000 0.000
0.115 0.115 0.115
0.885 0.885 0.885
0.500 0.500 0.500
```

Properties
Total magnetic moment (μB/f.u.): 0.00
Formation energy from raw total energies (kJ/mol of formula units): 128.5
ρ (g/cm3): 3.43